VASP calculation (PBE) on an optimized crystal structure of Y3CoSn.

Calculated values
ρ = 5.5 g/cm3
E = -32.047 eV/cell
Energy above the lowest structure with this stoichiometry = 126.6 meV/atom
Formation enthalpy at 0 K = -7.13 kcal/mol of atoms

The structure in CIF format:
```
data_Y3CoSn
_symmetry_space_group_name_H-M 'P m -3 m'
_symmetry_Int_Tables_number 221
_symmetry_space_group_name_Hall '-P 4 2 3'
_cell_length_a 5.134
_cell_length_b 5.134
_cell_length_c 5.134
_cell_angle_alpha 90.00
_cell_angle_beta 90.00
_cell_angle_gamma 90.00
loop_
_atom_site_label
_atom_site_type_symbol
_atom_site_fract_x
_atom_site_fract_y
_atom_site_fract_z
Y1 Y 0.000 0.000 0.500
Co1 Co 0.000 0.000 0.000
Sn1 Sn 0.500 0.500 0.500
```